# Al2MoRuO GGA+U optimized geometry
# Fermi-level density of states   2.09 states/eV/cell
# Energy   -5.01 eV per atom
data_Al2MoRuO
_chemical_formula_sum 'Al2 Mo1 Ru1 O1'
_cell_length_a 4.661
_cell_length_b 4.661
_cell_length_c 4.799
_cell_angle_alpha 90.00
_cell_angle_beta 90.00
_cell_angle_gamma 90.00
_space_group_name_H-M_alt 'P 4/m m m'
_space_group_IT_number 123
_space_group_name_Hall '-P 4 2'
loop_
_atom_site_label
_atom_site_type_symbol
_atom_site_fract_x
_atom_site_fract_y
_atom_site_fract_z
Al1 Al 0.000 0.500 0.000
Mo1 Mo 0.000 0.000 0.500
Ru1 Ru 0.000 0.000 0.000
O1 O 0.500 0.500 0.500